Computed, not measured: a geometry-optimized AlInSe2 structure at the GGA-PBE level of DFT.

Cell lengths 2.761, 5.835, 5.991 Å; angles 90.00, 90.31, 90.00 degrees
Fractional coordinates of all 4 atoms:
Al1 0.000 0.000 0.000
In1 0.000 0.500 0.478
Se1 0.000 0.500 0.972
Se2 0.002 0.000 0.439

Summary:
For the raw formation energy, the calculation gives -0.542 eV/f.u. Its space group is Pm. As for the crystal system: monoclinic. For the total magnetization, the calculation gives 0.00 Bohr magnetons per cell.